No. 1
DFT (GGA-PBEsol) results for an optimized crystal structure of Sb2MoPt.

- Total magnetization: 0.0 μB/cell
- Crystal system: trigonal
- Space group: No. 160
- Formation energy without anion corrections: 18 kJ/mol of atoms
- Mass density: 10.6 g/cm3
- Relative energy among the computed polymorphs: 265 meV/atom
- Raw total energy: -27.1 eV per formula unit

a = 10.399 Å, b = 10.399 Å, c = 10.399 Å
α = 16.96°, β = 16.96°, γ = 16.96°
Element x y z (fractional)
Sb1 0.000 0.000 0.000
Sb2 0.213 0.213 0.213
Mo1 0.740 0.740 0.740
Pt1 0.472 0.472 0.472



No. 2
DFT (GGA-PBEsol) results for an optimized crystal structure of OsRhS2.

- Total magnetization: 0.0 μB/cell
- Crystal system: cubic
- Space group: No. 225
- Formation energy without anion corrections: 30 kJ/mol of atoms
- Mass density: 11.3 g/cm3
- Raw total energy: -27.9 eV per formula unit

a = 4.206 Å, b = 4.206 Å, c = 4.206 Å
α = 60.00°, β = 60.00°, γ = 60.00°
Element x y z (fractional)
Os1 0.000 0.000 0.000
Rh1 0.500 0.500 0.500
S1 0.250 0.250 0.250
S2 0.750 0.750 0.750



No. 3
DFT (GGA-PBEsol) results for an optimized crystal structure of Mg5Pt3.

- Total magnetization: 0.0 μB/cell
- Crystal system: tetragonal
- Space group: No. 140
- Formation energy from the elements: -0.661 eV per atom
- Mass density: 8.5 g/cm3
- Relative energy among the computed polymorphs: 0 meV/atom
- Raw total energy: -34.8 eV per formula unit

a = 7.709 Å, b = 7.709 Å, c = 7.709 Å
α = 96.72°, β = 96.72°, γ = 140.00°
Element x y z (fractional)
Mg1 0.079 0.782 0.860
Mg2 0.218 0.079 0.297
Mg3 0.250 0.750 0.500
Mg4 0.282 0.579 0.860
Mg5 0.421 0.282 0.703
Mg6 0.579 0.718 0.297
Mg7 0.718 0.421 0.140
Mg8 0.750 0.250 0.500
Mg9 0.782 0.921 0.703
Mg10 0.921 0.218 0.140
Pt1 0.162 0.338 0.500
Pt2 0.250 0.250 0.000
Pt3 0.338 0.838 0.176
Pt4 0.662 0.162 0.824
Pt5 0.750 0.750 0.000
Pt6 0.838 0.662 0.500



No. 4
DFT (GGA-PBEsol) results for an optimized crystal structure of Ba2CrSb.

- Total magnetization: 5.3 μB/cell
- Crystal system: orthorhombic
- Space group: No. 47
- Formation energy without anion corrections: 2 kJ/mol of atoms
- Mass density: 5.2 g/cm3
- Raw total energy: -19.0 eV per formula unit

a = 4.073 Å, b = 4.398 Å, c = 8.029 Å
α = 90.00°, β = 90.00°, γ = 90.00°
Element x y z (fractional)
Ba1 0.000 0.000 0.232
Ba2 0.000 0.000 0.768
Cr1 0.500 0.500 0.500
Sb1 0.500 0.500 0.000



Please write out number 1 again, unchanged.
DFT (GGA-PBEsol) results for an optimized crystal structure of Sb2MoPt.

- Total magnetization: 0.0 μB/cell
- Crystal system: trigonal
- Space group: No. 160
- Formation energy without anion corrections: 18 kJ/mol of atoms
- Mass density: 10.6 g/cm3
- Relative energy among the computed polymorphs: 265 meV/atom
- Raw total energy: -27.1 eV per formula unit

a = 10.399 Å, b = 10.399 Å, c = 10.399 Å
α = 16.96°, β = 16.96°, γ = 16.96°
Element x y z (fractional)
Sb1 0.000 0.000 0.000
Sb2 0.213 0.213 0.213
Mo1 0.740 0.740 0.740
Pt1 0.472 0.472 0.472



> Which value of mass density does entry 2 give?

11.3 g/cm3